1.
This record from Alexandria via LeMat-Bulk describes a relaxed AgPPd2 crystal. The functional is PBE.

Cell and atoms, written as POSCAR:
```
AgPPd2
1.0
1.769 -5.087 0.000
1.769 5.087 0.000
0.000 0.000 6.974
Ag P Pd
2 2 4
direct
0.039 0.961 0.750
0.961 0.039 0.250
0.234 0.766 0.250
0.766 0.234 0.750
0.356 0.644 0.543
0.356 0.644 0.957
0.644 0.356 0.043
0.644 0.356 0.457
```

Theoretical density   9.30 Mg/m³
Symmetry   Cmcm
Total energy   -4.955 eV/atom
Fermi-level density of states   1.1 states/eV/f.u.

2.
This record from Alexandria via LeMat-Bulk describes a relaxed Na3TlCd2 crystal. The functional is PBE.

Cell and atoms, written as POSCAR:
```
Na3TlCd2
1.0
7.290 0.000 0.000
0.000 5.294 0.000
-1.842 0.000 8.148
Na Tl Cd
6 2 4
direct
0.041 0.250 0.193
0.235 0.250 0.872
0.369 0.250 0.521
0.631 0.750 0.479
0.765 0.750 0.128
0.959 0.750 0.807
0.301 0.750 0.151
0.699 0.250 0.849
0.107 0.750 0.476
0.444 0.750 0.791
0.556 0.250 0.209
0.893 0.250 0.524
```

Theoretical density   5.26 Mg/m³
Excess energy over the best structure of this formula in the dataset   0.0 meV per atom
Symmetry   P2_1/m
Total energy   -1.466 eV/atom
Fermi-level density of states   2.0 states/eV/f.u.

no.,energy of formation from the pure elements (meV per atom)
1,-294
2,-107